VASP calculation (PBE-GGA) on an optimized crystal structure of BaZnS2.

It has space group Pnma (No. 62), with a = 16.353 Å, b = 4.299 Å, c = 6.587 Å, α = 90.00°, β = 90.00° and γ = 90.00°. The distinct sites, in fractional coordinates, are Ba at (0.144, 0.250, 0.057), Zn at (0.058, 0.750, 0.616), S at (0.017, 0.750, 0.274) and S at (0.185, 0.750, 0.745).

As for the energy relative to the elements, uncorrected: -5.4 eV per formula unit. The value obtained for the density of states at the Fermi level is 0.0 states/eV per cell. For the uncorrected energy, the calculation gives -4.213 eV/atom.

VASP calculation (PBE-GGA) on an optimized crystal structure of Ba2ZnS3.

It has space group Pnma (No. 62), with a = 8.932 Å, b = 4.296 Å, c = 17.176 Å, α = 90.00°, β = 90.00° and γ = 90.00°. The distinct sites, in fractional coordinates, are Ba at (0.082, 0.250, 0.214), Ba at (0.249, 0.250, 0.957), Zn at (0.136, 0.250, 0.635), S at (0.008, 0.750, 0.602), S at (0.131, 0.750, 0.072) and S at (0.179, 0.250, 0.771).

As for the energy relative to the elements, uncorrected: -10.0 eV per formula unit. The value obtained for the density of states at the Fermi level is 0.0 states/eV per cell. For the uncorrected energy, the calculation gives -4.576 eV/atom.

VASP calculation (PBE-GGA) on an optimized crystal structure of BaZnS2.

It has space group Pnma (No. 62), with a = 7.036 Å, b = 4.100 Å, c = 14.880 Å, α = 90.00°, β = 90.00° and γ = 90.00°. The distinct sites, in fractional coordinates, are Ba at (0.053, 0.250, 0.157), Zn at (0.110, 0.750, 0.436), S at (0.217, 0.250, 0.519) and S at (0.234, 0.750, 0.295).

As for the energy relative to the elements, uncorrected: -5.6 eV per formula unit. The value obtained for the density of states at the Fermi level is 0.0 states/eV per cell. For the uncorrected energy, the calculation gives -4.265 eV/atom.

VASP calculation (PBE-GGA) on an optimized crystal structure of Ba3ZnS.

It has space group Pm-3m (No. 221), with a = 6.116 Å, b = 6.116 Å, c = 6.116 Å, α = 90.00°, β = 90.00° and γ = 90.00°. The distinct sites, in fractional coordinates, are Ba at (0.000, 0.000, 0.500), Zn at (0.500, 0.500, 0.500) and S at (0.000, 0.000, 0.000).

As for the energy relative to the elements, uncorrected: -3.3 eV per formula unit. The value obtained for the density of states at the Fermi level is 5.0 states/eV per cell. For the uncorrected energy, the calculation gives -2.891 eV/atom.

VASP calculation (PBE-GGA) on an optimized crystal structure of Ba2ZnS3.

It has space group Pnma (No. 62), with a = 12.169 Å, b = 4.259 Å, c = 12.734 Å, α = 90.00°, β = 90.00° and γ = 90.00°. The distinct sites, in fractional coordinates, are Ba at (0.010, 0.250, 0.175), Ba at (0.174, 0.250, 0.517), Zn at (0.244, 0.750, 0.303), S at (0.060, 0.750, 0.360), S at (0.135, 0.250, 0.946) and S at (0.225, 0.750, 0.707).

As for the energy relative to the elements, uncorrected: -10.0 eV per formula unit. The value obtained for the density of states at the Fermi level is 0.0 states/eV per cell. For the uncorrected energy, the calculation gives -4.578 eV/atom.

VASP calculation (PBE-GGA) on an optimized crystal structure of Ba2ZrZnS5.

It has space group Cmc2_1 (No. 36), with a = 4.001 Å, b = 18.188 Å, c = 12.724 Å, α = 90.00°, β = 90.00° and γ = 90.00°. The distinct sites, in fractional coordinates, are Ba at (0.000, 0.114, 0.000), Ba at (0.000, 0.126, 0.621), Zr at (0.000, 0.210, 0.326), Zn at (0.000, 0.439, 0.757), S at (0.000, 0.065, 0.356), S at (0.000, 0.288, 0.960), S at (0.000, 0.305, 0.688), S at (0.000, 0.346, 0.314) and S at (0.000, 0.497, 0.598).

As for the energy relative to the elements, uncorrected: -14.6 eV per formula unit. For the uncorrected energy, the calculation gives -5.439 eV/atom.

VASP calculation (PBE-GGA) on an optimized crystal structure of Ba4Zr3S10.

It has space group I4/mmm (No. 139), with a = 5.051 Å, b = 5.051 Å, c = 35.908 Å, α = 90.00°, β = 90.00° and γ = 90.00°. The distinct sites, in fractional coordinates, are Ba at (0.000, 0.000, 0.067), Ba at (0.000, 0.000, 0.200), Zr at (0.000, 0.000, 0.357), Zr at (0.000, 0.000, 0.500), S at (0.000, 0.000, 0.287), S at (0.000, 0.000, 0.429), S at (0.000, 0.500, 0.000) and S at (0.000, 0.500, 0.139).

As for the energy relative to the elements, uncorrected: -31.1 eV per formula unit. For the uncorrected energy, the calculation gives -6.219 eV/atom.

VASP calculation (PBE-GGA) on an optimized crystal structure of BaZrS4.

It has space group P4/mmm (No. 123), with a = 4.402 Å, b = 4.402 Å, c = 7.766 Å, α = 90.00°, β = 90.00° and γ = 90.00°. The distinct sites, in fractional coordinates, are Ba at (0.000, 0.000, 0.000), Zr at (0.500, 0.500, 0.500) and S at (0.000, 0.500, 0.296).

As for the energy relative to the elements, uncorrected: -6.6 eV per formula unit. The value obtained for the density of states at the Fermi level is 2.4 states/eV per cell. For the uncorrected energy, the calculation gives -5.603 eV/atom.

VASP calculation (PBE-GGA) on an optimized crystal structure of Ba3ZrS5.

It has space group I4/mcm (No. 140), with a = 8.566 Å, b = 8.566 Å, c = 14.575 Å, α = 90.00°, β = 90.00° and γ = 90.00°. The distinct sites, in fractional coordinates, are Ba at (0.000, 0.000, 0.250), Ba at (0.163, 0.337, 0.000), Zr at (0.000, 0.500, 0.250), S at (0.000, 0.000, 0.000) and S at (0.155, 0.345, 0.351).

As for the energy relative to the elements, uncorrected: -16.9 eV per formula unit. The value obtained for the density of states at the Fermi level is 0.0 states/eV per cell. For the uncorrected energy, the calculation gives -5.760 eV/atom.

VASP calculation (PBE-GGA) on an optimized crystal structure of Ba2Zr3S8.

It has space group C2/m (No. 12), with a = 15.018 Å, b = 7.735 Å, c = 6.640 Å, α = 90.00°, β = 108.28° and γ = 90.00°. The distinct sites, in fractional coordinates, are Ba at (0.236, 0.000, 0.172), Zr at (0.000, 0.238, 0.500), Zr at (0.000, 0.500, 0.000), S at (0.099, 0.500, 0.397), S at (0.100, 0.271, 0.892) and S at (0.108, 0.000, 0.465).

As for the energy relative to the elements, uncorrected: -22.4 eV per formula unit. For the uncorrected energy, the calculation gives -6.532 eV/atom.

VASP calculation (PBE-GGA) on an optimized crystal structure of Ba5ZrS8.

It has space group I-4 (No. 82), with a = 9.184 Å, b = 9.184 Å, c = 9.066 Å, α = 90.00°, β = 90.00° and γ = 90.00°. The distinct sites, in fractional coordinates, are Ba at (0.000, 0.000, 0.000), Ba at (0.121, 0.239, 0.368), Zr at (0.000, 0.500, 0.750), S at (0.056, 0.358, 0.011) and S at (0.079, 0.205, 0.710).

As for the energy relative to the elements, uncorrected: -23.1 eV per formula unit. The value obtained for the density of states at the Fermi level is 3.7 states/eV per cell. For the uncorrected energy, the calculation gives -5.308 eV/atom.

VASP calculation (PBE-GGA) on an optimized crystal structure of BaZr3S.

It has space group Pm-3m (No. 221), with a = 5.075 Å, b = 5.075 Å, c = 5.075 Å, α = 90.00°, β = 90.00° and γ = 90.00°. The distinct sites, in fractional coordinates, are Ba at (0.000, 0.000, 0.000), Zr at (0.000, 0.500, 0.500) and S at (0.500, 0.500, 0.500).

As for the energy relative to the elements, uncorrected: -0.9 eV per formula unit. The value obtained for the density of states at the Fermi level is 5.9 states/eV per cell. For the uncorrected energy, the calculation gives -6.526 eV/atom.